1.
Density functional theory data (PBE) for a geometry-optimized Hg5Pd8Au structure.

Uncorrected energy = -0.1225 Ha/atom
Calculated density = 12.943 g/cm3
Space-group type = No. 82

Lattice parameters (Å, degrees): 6.9923 6.9923 6.9923 109.32 109.32 109.77
Element x y z (fractional)
1 Hg 0.0000 0.0000 0.0000
2 Hg 0.1337 0.2543 0.6333
3 Hg 0.4996 0.8663 0.1206
4 Hg 0.6210 0.5004 0.3667
5 Hg 0.7457 0.3790 0.8794
6 Pd 0.0332 0.6214 0.7440
7 Pd 0.2019 0.4592 0.0865
8 Pd 0.3727 0.1154 0.9135
9 Pd 0.3786 0.1226 0.4118
10 Pd 0.5408 0.6273 0.7427
11 Pd 0.7108 0.9668 0.5882
12 Pd 0.8774 0.2892 0.2560
13 Pd 0.8846 0.7981 0.2573
14 Au 0.2500 0.7500 0.5000

2.
Density functional theory data (PBE) for a geometry-optimized Hg2Pd3Au2 structure.

Excess energy over the best structure of this formula in the dataset = 0.005 eV per atom
Uncorrected energy = -0.1224 Ha/atom
Calculated density = 13.830 g/cm3
Space-group type = No. 12

Lattice parameters (Å, degrees): 7.3806 7.3806 4.4769 107.60 107.60 35.35
Element x y z (fractional)
1 Hg 0.1203 0.1203 0.1207
2 Hg 0.8797 0.8797 0.8793
3 Pd 0.2532 0.2532 0.7534
4 Pd 0.5000 0.5000 0.0000
5 Pd 0.7468 0.7468 0.2466
6 Au 0.3824 0.3824 0.3824
7 Au 0.6176 0.6176 0.6176

3.
Density functional theory data (PBE) for a geometry-optimized Hg4Pd5Au structure.

Uncorrected energy = -0.1175 Ha/atom
Calculated density = 14.273 g/cm3
Space-group type = No. 123

Lattice parameters (Å, degrees): 3.3871 3.3871 15.5305 90.00 90.00 90.00
Element x y z (fractional)
1 Hg 0.0000 0.0000 0.1015
2 Hg 0.0000 0.0000 0.3052
3 Hg 0.0000 0.0000 0.6948
4 Hg 0.0000 0.0000 0.8985
5 Pd 0.5000 0.5000 0.0000
6 Pd 0.5000 0.5000 0.2020
7 Pd 0.5000 0.5000 0.4028
8 Pd 0.5000 0.5000 0.5972
9 Pd 0.5000 0.5000 0.7980
10 Au 0.0000 0.0000 0.5000

4.
Density functional theory data (PBE) for a geometry-optimized Hg4Pd3Au structure.

Uncorrected energy = -0.0954 Ha/atom
Calculated density = 14.722 g/cm3
Space-group type = No. 12

Lattice parameters (Å, degrees): 8.1581 8.1581 4.4430 105.61 105.61 31.59
Element x y z (fractional)
1 Hg 0.1282 0.1282 0.1287
2 Hg 0.3718 0.3718 0.3714
3 Hg 0.6282 0.6282 0.6286
4 Hg 0.8718 0.8718 0.8713
5 Pd 0.0000 0.0000 0.5000
6 Pd 0.2485 0.2485 0.7486
7 Pd 0.7515 0.7515 0.2514
8 Au 0.5000 0.5000 0.0000

5.
Density functional theory data (PBE) for a geometry-optimized Hg2PdAu3 structure.

Uncorrected energy = -0.0959 Ha/atom
Calculated density = 15.554 g/cm3
Space-group type = No. 2

Lattice parameters (Å, degrees): 2.9938 7.2614 11.5456 72.87 88.78 78.15
Element x y z (fractional)
1 Hg 0.0225 0.4332 0.1841
2 Hg 0.2715 0.9649 0.1375
3 Hg 0.7285 0.0351 0.8625
4 Hg 0.9775 0.5668 0.8159
5 Pd 0.3911 0.7019 0.9923
6 Pd 0.6089 0.2981 0.0077
7 Au 0.1036 0.2883 0.6559
8 Au 0.2326 0.0359 0.3813
9 Au 0.4308 0.6467 0.5772
10 Au 0.5692 0.3533 0.4228
11 Au 0.7674 0.9641 0.6187
12 Au 0.8964 0.7117 0.3441

6.
Density functional theory data (PBE) for a geometry-optimized Hg2Pd3Au structure.

Excess energy over the best structure of this formula in the dataset = 0.000 eV per atom
Uncorrected energy = -0.1245 Ha/atom
Calculated density = 14.428 g/cm3
Space-group type = No. 123

Lattice parameters (Å, degrees): 3.3641 3.3641 9.3295 90.00 90.00 90.00
Element x y z (fractional)
1 Hg 0.0000 0.0000 0.1721
2 Hg 0.0000 0.0000 0.8279
3 Pd 0.5000 0.5000 0.0000
4 Pd 0.5000 0.5000 0.3369
5 Pd 0.5000 0.5000 0.6631
6 Au 0.0000 0.0000 0.5000

7.
Density functional theory data (PBE) for a geometry-optimized HgPd5Au structure.

Excess energy over the best structure of this formula in the dataset = 0.591 eV per atom
Uncorrected energy = -0.1328 Ha/atom
Calculated density = 9.267 g/cm3
Space-group type = No. 44

Lattice parameters (Å, degrees): 6.3273 6.3273 6.3273 133.05 89.79 108.72
Element x y z (fractional)
1 Hg 0.0000 0.0000 0.0000
2 Pd 0.2657 0.5178 0.7480
3 Pd 0.5374 0.2899 0.7525
4 Pd 0.5374 0.7849 0.2475
5 Pd 0.7698 0.5178 0.2520
6 Pd 0.8416 0.3416 0.5000
7 Au 0.2203 0.7203 0.5000

8.
Density functional theory data (PBE) for a geometry-optimized HgPd4Au2 structure.

Excess energy over the best structure of this formula in the dataset = 0.020 eV per atom
Uncorrected energy = -0.1450 Ha/atom
Calculated density = 13.614 g/cm3
Space-group type = No. 1

Lattice parameters (Å, degrees): 6.8096 7.0168 7.0496 60.37 63.75 62.13
Element x y z (fractional)
1 Hg 0.0000 0.0000 0.0000
2 Hg 0.1267 0.3962 0.0683
3 Pd 0.0802 0.2425 0.5359
4 Pd 0.1989 0.9260 0.3299
5 Pd 0.2863 0.4558 0.6160
6 Pd 0.3338 0.5732 0.1757
7 Pd 0.5294 0.1097 0.2213
8 Pd 0.6627 0.6615 0.2439
9 Pd 0.7690 0.4608 0.9181
10 Pd 0.9333 0.8271 0.7692
11 Au 0.4064 0.7515 0.6830
12 Au 0.4669 0.9969 0.8790
13 Au 0.7274 0.1998 0.4245
14 Au 0.8712 0.7145 0.4649